# 1
The following is a DFT calculation (PBE) of a geometry-optimized DyTmZrN3 structure.

Results
ΔE_f (raw) ... -1528 meV/atom

Lattice parameters (Å, degrees): 5.7329 3.3413 8.7986 90.00 100.78 90.00
Space group P2_1/m (No. 11)
Asymmetric unit:
Dy: 0.1652 0.2500 0.2032 (multiplicity 2)
Tm: 0.3469 0.2500 0.8626 (multiplicity 2)
Zr: 0.2650 0.7500 0.5441 (multiplicity 2)
N: 0.0435 0.2500 0.6541 (multiplicity 2)
N: 0.2503 0.7500 0.0091 (multiplicity 2)
N: 0.4640 0.7500 0.3517 (multiplicity 2)

# 2
The following is a DFT calculation (PBE) of a geometry-optimized DyTm2Zr3N6 structure.

Results
ΔE_f (raw) ... -1767 meV/atom

Lattice parameters (Å, degrees): 5.7616 9.9613 5.8015 90.00 109.38 90.00
Space group C2/m (No. 12)
Asymmetric unit:
Dy: 0.0000 0.0000 0.0000 (multiplicity 2)
Tm: 0.0000 0.3333 0.0000 (multiplicity 4)
Zr: 0.0000 0.1672 0.5000 (multiplicity 4)
Zr: 0.0000 0.5000 0.5000 (multiplicity 2)
N: 0.2440 0.3315 0.7378 (multiplicity 8)
N: 0.2492 0.0000 0.7374 (multiplicity 4)

# 3
The following is a DFT calculation (PBE) of a geometry-optimized Dy2UN3 structure.

Results
ΔE_f (raw) ... -1567 meV/atom

Lattice parameters (Å, degrees): 3.4532 3.4532 8.5362 90.00 90.00 120.00
Space group P-3m1 (No. 164)
Asymmetric unit:
Dy: 0.3333 0.6667 0.1616 (multiplicity 2)
U: 0.0000 0.0000 0.5000 (multiplicity 1)
N: 0.0000 0.0000 0.0000 (multiplicity 1)
N: 0.3333 0.6667 0.6571 (multiplicity 2)

# 4
The following is a DFT calculation (PBE) of a geometry-optimized Dy4UN4 structure.

Results
Relative energy among the computed polymorphs ... 550 meV per atom
ΔE_f (raw) ... -802 meV/atom

Lattice parameters (Å, degrees): 5.6338 5.6338 10.9429 90.00 90.00 90.00
Space group I-42m (No. 121)
Asymmetric unit:
Dy: 0.0000 0.0000 0.2152 (multiplicity 4)
Dy: 0.0000 0.5000 0.0000 (multiplicity 4)
U: 0.0000 0.0000 0.5000 (multiplicity 2)
N: 0.2255 0.2255 0.6249 (multiplicity 8)

# 5
The following is a DFT calculation (PBE) of a geometry-optimized Dy5UN6 structure.

Results
ΔE_f (raw) ... -1680 meV/atom

Lattice parameters (Å, degrees): 5.9896 10.3711 5.9868 90.00 109.46 90.00
Space group C2/m (No. 12)
Asymmetric unit:
Dy: 0.0000 0.0000 0.0000 (multiplicity 2)
Dy: 0.0000 0.1664 0.5000 (multiplicity 4)
Dy: 0.0000 0.3322 0.0000 (multiplicity 4)
U: 0.0000 0.5000 0.5000 (multiplicity 2)
N: 0.2349 0.5000 0.2620 (multiplicity 4)
N: 0.2380 0.3424 0.7407 (multiplicity 8)

# 6
The following is a DFT calculation (PBE) of a geometry-optimized Dy4UN4 structure.

Results
Relative energy among the computed polymorphs ... 0 meV per atom
ΔE_f (raw) ... -1353 meV/atom

Lattice parameters (Å, degrees): 7.7345 7.7345 4.9474 90.00 90.00 90.00
Space group I4/m (No. 87)
Asymmetric unit:
Dy: 0.1030 0.6927 0.0000 (multiplicity 8)
U: 0.0000 0.0000 0.5000 (multiplicity 2)
N: 0.0914 0.7174 0.5000 (multiplicity 8)

# 7
The following is a DFT calculation (PBE) of a geometry-optimized Dy2UN structure.

Results
ΔE_f (raw) ... -399 meV/atom

Lattice parameters (Å, degrees): 3.2779 3.2779 28.4654 90.00 90.00 120.00
Space group R-3m (No. 166, hexagonal axes)
Asymmetric unit:
Dy: 0.0000 0.0000 0.1178 (multiplicity 6)
U: 0.0000 0.0000 0.0000 (multiplicity 3)
N: 0.0000 0.0000 0.5000 (multiplicity 3)

# 8
The following is a DFT calculation (PBE) of a geometry-optimized DyU3N4 structure.

Results
ΔE_f (raw) ... -1397 meV/atom

Lattice parameters (Å, degrees): 6.8893 9.7557 3.4358 90.00 90.00 90.00
Space group Cmmm (No. 65)
Asymmetric unit:
Dy: 0.0000 0.0000 0.0000 (multiplicity 2)
U: 0.0000 0.5000 0.0000 (multiplicity 2)
U: 0.2500 0.2500 0.5000 (multiplicity 4)
N: 0.0000 0.2501 0.0000 (multiplicity 4)
N: 0.2439 0.5000 0.5000 (multiplicity 4)

# 9
The following is a DFT calculation (PBE) of a geometry-optimized DyY2UN4 structure.

Results
ΔE_f (raw) ... -1618 meV/atom

Lattice parameters (Å, degrees): 5.9854 3.4646 5.9860 90.00 109.01 90.00
Space group P2/m (No. 10)
Asymmetric unit:
Dy: 0.0000 0.0000 0.0000 (multiplicity 1)
Y: 0.0000 0.5000 0.5000 (multiplicity 1)
Y: 0.5000 0.0000 0.5000 (multiplicity 1)
U: 0.5000 0.5000 0.0000 (multiplicity 1)
N: 0.2609 0.0000 0.7615 (multiplicity 2)
N: 0.2627 0.5000 0.2360 (multiplicity 2)

# 10
The following is a DFT calculation (PBE) of a geometry-optimized Dy2Zr3UN6 structure.

Results
ΔE_f (raw) ... -1677 meV/atom

Lattice parameters (Å, degrees): 5.8002 10.0417 5.7974 90.00 109.29 90.00
Space group C2/m (No. 12)
Asymmetric unit:
Dy: 0.0000 0.1670 0.0000 (multiplicity 4)
Zr: 0.0000 0.0000 0.5000 (multiplicity 2)
Zr: 0.0000 0.3289 0.5000 (multiplicity 4)
U: 0.0000 0.5000 0.0000 (multiplicity 2)
N: 0.2339 0.5000 0.7436 (multiplicity 4)
N: 0.2463 0.3390 0.2571 (multiplicity 8)

# 11
The following is a DFT calculation (PBE) of a geometry-optimized Dy2ZrUN4 structure.

Results
ΔE_f (raw) ... -1632 meV/atom

Lattice parameters (Å, degrees): 5.8615 3.3986 5.9004 90.00 108.99 90.00
Space group P2/m (No. 10)
Asymmetric unit:
Dy: 0.0000 0.0000 0.0000 (multiplicity 1)
Dy: 0.5000 0.5000 0.0000 (multiplicity 1)
Zr: 0.0000 0.5000 0.5000 (multiplicity 1)
U: 0.5000 0.0000 0.5000 (multiplicity 1)
N: 0.2487 0.0000 0.7285 (multiplicity 2)
N: 0.2552 0.5000 0.2672 (multiplicity 2)

# 12
The following is a DFT calculation (PBE) of a geometry-optimized DyZrU2N4 structure.

Results
ΔE_f (raw) ... -1513 meV/atom

Lattice parameters (Å, degrees): 5.8773 3.3806 5.9369 90.00 109.20 90.00
Space group P2/m (No. 10)
Asymmetric unit:
Dy: 0.0000 0.0000 0.0000 (multiplicity 1)
Zr: 0.5000 0.5000 0.0000 (multiplicity 1)
U: 0.0000 0.5000 0.5000 (multiplicity 1)
U: 0.5000 0.0000 0.5000 (multiplicity 1)
N: 0.2599 0.0000 0.7540 (multiplicity 2)
N: 0.2607 0.5000 0.2525 (multiplicity 2)